Model P:
TePd4Au | PBE | relaxed

The structure belongs to space group P4/mmm (No. 123); the cell edges are 4.154, 4.154 and 6.896 Å and the angles 90.00°, 90.00° and 90.00°. The distinct sites, in fractional coordinates, are Te at (0.000, 0.000, 0.000), Pd at (0.000, 0.500, 0.236) and Au at (0.500, 0.500, 0.500).

The density of states at the Fermi level comes out at 3.12 states/eV/cell. Its volume is 119 Å³ per cell.


Model Q:
TePd4Au | PBE | relaxed

The structure belongs to space group P2_1/c (No. 14); the cell edges are 4.863, 8.694 and 4.859 Å and the angles 90.00°, 94.13° and 90.00°. The distinct sites, in fractional coordinates, are Te at (0.000, 0.000, 0.000), Pd at (0.000, 0.163, 0.499), Pd at (0.500, 0.165, 0.000) and Au at (0.500, 0.000, 0.500).

The density of states at the Fermi level comes out at 6.92 states/eV/cell. Its volume is 205 Å³ per cell.


According to the calculations, the structures order from most to least stable as model Q, model P.


Model P:
Te3PdAu | PBE | relaxed

The structure belongs to space group Pm-3m (No. 221); the cell edges are 5.272, 5.272 and 5.272 Å and the angles 90.00°, 90.00° and 90.00°. The distinct sites, in fractional coordinates, are Te at (0.000, 0.000, 0.500), Pd at (0.000, 0.000, 0.000) and Au at (0.500, 0.500, 0.500).

The density of states at the Fermi level comes out at 5.43 states/eV/cell. Its volume is 147 Å³ per cell.


Model Q:
Te3PdAu | PBE | relaxed

The structure belongs to space group P2_1/m (No. 11); the cell edges are 7.187, 4.197 and 9.637 Å and the angles 90.00°, 111.51° and 90.00°. The distinct sites, in fractional coordinates, are Te at (0.135, 0.250, 0.267), Te at (0.254, 0.250, 0.646), Te at (0.319, 0.250, 0.028), Pd at (0.271, 0.750, 0.836) and Au at (0.389, 0.750, 0.396).

The density of states at the Fermi level comes out at 5.93 states/eV/cell. Its volume is 270 Å³ per cell.


According to the calculations, the structures order from most to least stable as model Q, model P.


Model P:
Te6Pd3Au | PBE | relaxed

The structure belongs to space group R3 (No. 146, hexagonal axes); the cell edges are 7.1033, 7.1033 and 17.8594 Å and the angles 90.00°, 90.00° and 120.00°. The distinct sites, in fractional coordinates, are Te at (0.0140, 0.3033, 0.0000), Te at (0.0255, 0.6676, 0.1646), Pd at (0.0000, 0.0000, 0.0982), Pd at (0.0000, 0.0000, 0.4017), Pd at (0.0000, 0.0000, 0.8972) and Au at (0.0000, 0.0000, 0.6045).

The density of states at the Fermi level comes out at 13.64 states/eV/cell. Its volume is 780 Å³ per cell.


Model Q:
Te6Pd3Au | PBE | relaxed

The structure belongs to space group Cmmm (No. 65); the cell edges are 10.485, 12.601 and 4.190 Å and the angles 90.00°, 90.00° and 90.00°. The distinct sites, in fractional coordinates, are Te at (0.000, 0.151, 0.000), Te at (0.200, 0.378, 0.500), Pd at (0.000, 0.500, 0.500), Pd at (0.250, 0.250, 0.000) and Au at (0.000, 0.000, 0.500).

The density of states at the Fermi level comes out at 8.29 states/eV/cell. Its volume is 554 Å³ per cell.


According to the calculations, the structures order from most to least stable as model P, model Q.


Model P:
Te6PdAu2 | PBE | relaxed

The structure belongs to space group P-31m (No. 162); the cell edges are 7.2707, 7.2707 and 5.1402 Å and the angles 90.00°, 90.00° and 120.00°. The distinct sites, in fractional coordinates, are Te at (0.0000, 0.3206, 0.2818), Pd at (0.0000, 0.0000, 0.0000) and Au at (0.3333, 0.6667, 0.0000).

The density of states at the Fermi level comes out at 4.02 states/eV/cell. Its volume is 235 Å³ per cell.


Model Q:
Te6PdAu2 | PBE | relaxed

The structure belongs to space group C2/c (No. 15); the cell edges are 14.213, 9.786 and 7.923 Å and the angles 90.00°, 106.63° and 90.00°. The distinct sites, in fractional coordinates, are Te at (0.078, 0.131, 0.102), Te at (0.086, 0.439, 0.979), Te at (0.159, 0.199, 0.651), Pd at (0.000, 0.096, 0.750) and Au at (0.235, 0.459, 0.750).

The density of states at the Fermi level comes out at 13.88 states/eV/cell. Its volume is 1056 Å³ per cell.


According to the calculations, the structures order from most to least stable as model P, model Q.


Model P:
ThPd4Au5 | PBE | relaxed

The structure belongs to space group C2/m (No. 12); the cell edges are 15.062, 4.195 and 5.943 Å and the angles 90.00°, 103.47° and 90.00°. The distinct sites, in fractional coordinates, are Th at (0.000, 0.000, 0.000), Pd at (0.100, 0.500, 0.303), Pd at (0.196, 0.000, 0.096), Au at (0.000, 0.000, 0.500), Au at (0.107, 0.500, 0.793) and Au at (0.206, 0.000, 0.605).

The density of states at the Fermi level comes out at 6.69 states/eV/cell. Its volume is 365 Å³ per cell.


Model Q:
ThPd4Au5 | PBE | relaxed

The structure belongs to space group Pmmn (No. 59, origin choice 2); the cell edges are 8.397, 9.656 and 4.800 Å and the angles 90.00°, 90.00° and 90.00°. The distinct sites, in fractional coordinates, are Th at (0.250, 0.250, 0.209), Pd at (0.009, 0.750, 0.408), Pd at (0.250, 0.541, 0.264), Au at (0.082, 0.507, 0.755) and Au at (0.250, 0.750, 0.853).

The density of states at the Fermi level comes out at 7.51 states/eV/cell. Its volume is 389 Å³ per cell.


According to the calculations, the structures order from most to least stable as model P, model Q.


Model P:
ThPd8Au2 | PBE | relaxed

The structure belongs to space group C2/m (No. 12); the cell edges are 14.586, 4.175 and 6.378 Å and the angles 90.00°, 104.74° and 90.00°. The distinct sites, in fractional coordinates, are Th at (0.000, 0.000, 0.000), Pd at (0.046, 0.500, 0.722), Pd at (0.091, 0.000, 0.461), Pd at (0.138, 0.500, 0.187), Pd at (0.183, 0.000, 0.911) and Au at (0.227, 0.500, 0.641).

The density of states at the Fermi level comes out at 7.58 states/eV/cell. Its volume is 376 Å³ per cell.


Model Q:
ThPd8Au2 | PBE | relaxed

The structure belongs to space group P-1 (No. 2); the cell edges are 4.978, 5.016 and 7.677 Å and the angles 91.37°, 96.43° and 98.55°. The distinct sites, in fractional coordinates, are Th at (0.000, 0.000, 0.000), Pd at (0.099, 0.174, 0.367), Pd at (0.284, 0.545, 0.093), Pd at (0.366, 0.728, 0.450), Pd at (0.446, 0.918, 0.808) and Au at (0.179, 0.387, 0.718).

The density of states at the Fermi level comes out at 3.67 states/eV/cell. Its volume is 188 Å³ per cell.


According to the calculations, the structures order from most to least stable as model P, model Q.


Model P:
ThPd7Au4 | PBE | relaxed

The structure belongs to space group C2/m (No. 12); the cell edges are 10.265, 5.117 and 9.924 Å and the angles 90.00°, 120.38° and 90.00°. The distinct sites, in fractional coordinates, are Th at (0.000, 0.000, 0.000), Pd at (0.000, 0.500, 0.000), Pd at (0.111, 0.000, 0.453), Pd at (0.158, 0.500, 0.621), Pd at (0.215, 0.500, 0.918), Au at (0.086, 0.500, 0.316) and Au at (0.187, 0.000, 0.768).

The density of states at the Fermi level comes out at 12.59 states/eV/cell. Its volume is 450 Å³ per cell.


Model Q:
ThPd7Au4 | PBE | relaxed

The structure belongs to space group P-1 (No. 2); the cell edges are 5.023, 5.828 and 7.716 Å and the angles 77.51°, 71.61° and 89.87°. The distinct sites, in fractional coordinates, are Th at (0.000, 0.000, 0.000), Pd at (0.000, 0.500, 0.000), Pd at (0.168, 0.922, 0.331), Pd at (0.331, 0.328, 0.671), Pd at (0.500, 0.256, 0.001), Au at (0.162, 0.423, 0.332) and Au at (0.346, 0.822, 0.659).

The density of states at the Fermi level comes out at 4.14 states/eV/cell. Its volume is 209 Å³ per cell.


According to the calculations, the structures order from most to least stable as model Q, model P.


Model P:
ThPd5Au2 | PBE | relaxed

The structure belongs to space group C2/m (No. 12); the cell edges are 6.000, 5.999 and 8.428 Å and the angles 90.00°, 110.68° and 90.00°. The distinct sites, in fractional coordinates, are Th at (0.000, 0.000, 0.000), Pd at (0.000, 0.500, 0.000), Pd at (0.122, 0.250, 0.745) and Au at (0.248, 0.500, 0.495).

The density of states at the Fermi level comes out at 3.45 states/eV/cell. Its volume is 284 Å³ per cell.


Model Q:
ThPd5Au2 | PBE | relaxed

The structure belongs to space group Cmcm (No. 63); the cell edges are 3.103, 19.995 and 10.112 Å and the angles 90.00°, 90.00° and 90.00°. The distinct sites, in fractional coordinates, are Th at (0.000, 0.154, 0.250), Pd at (0.000, 0.038, 0.117), Pd at (0.000, 0.225, 0.750), Pd at (0.000, 0.307, 0.510) and Au at (0.000, 0.099, 0.617).

The density of states at the Fermi level comes out at 13.27 states/eV/cell. Its volume is 627 Å³ per cell.


According to the calculations, the structures order from most to least stable as model P, model Q.


Model P:
ThPd6Au3 | PBE | relaxed

The structure belongs to space group C2/m (No. 12); the cell edges are 9.453, 5.507 and 7.859 Å and the angles 90.00°, 115.47° and 90.00°. The distinct sites, in fractional coordinates, are Th at (0.000, 0.000, 0.000), Pd at (0.128, 0.000, 0.439), Pd at (0.173, 0.245, 0.810), Au at (0.000, 0.500, 0.500) and Au at (0.089, 0.500, 0.212).

The density of states at the Fermi level comes out at 14.05 states/eV/cell. Its volume is 369 Å³ per cell.


Model Q:
ThPd6Au3 | PBE | relaxed

The structure belongs to space group P2_1/m (No. 11); the cell edges are 7.736, 4.749 and 10.246 Å and the angles 90.00°, 110.82° and 90.00°. The distinct sites, in fractional coordinates, are Th at (0.213, 0.250, 0.138), Pd at (0.008, 0.250, 0.828), Pd at (0.194, 0.250, 0.629), Pd at (0.202, 0.750, 0.957), Pd at (0.395, 0.250, 0.433), Pd at (0.399, 0.750, 0.763), Pd at (0.408, 0.750, 0.276), Au at (0.004, 0.750, 0.660), Au at (0.213, 0.750, 0.468) and Au at (0.406, 0.250, 0.918).

The density of states at the Fermi level comes out at 6.92 states/eV/cell. Its volume is 352 Å³ per cell.


According to the calculations, the structures order from most to least stable as model Q, model P.


Model P:
TiPd6Au3 | PBE | relaxed

The structure belongs to space group P2_1/m (No. 11); the cell edges are 7.515, 4.682 and 9.937 Å and the angles 90.00°, 111.70° and 90.00°. The distinct sites, in fractional coordinates, are Ti at (0.140, 0.250, 0.091), Pd at (0.080, 0.750, 0.208), Pd at (0.113, 0.250, 0.574), Pd at (0.267, 0.750, 0.021), Pd at (0.309, 0.250, 0.367), Pd at (0.483, 0.750, 0.321), Pd at (0.498, 0.750, 0.828), Au at (0.085, 0.750, 0.725), Au at (0.290, 0.750, 0.522) and Au at (0.317, 0.250, 0.874).

The density of states at the Fermi level comes out at 10.41 states/eV/cell. Its volume is 325 Å³ per cell.


Model Q:
TiPd6Au3 | PBE | relaxed

The structure belongs to space group P2_1/m (No. 11); the cell edges are 11.270, 2.891 and 11.304 Å and the angles 90.00°, 114.02° and 90.00°. The distinct sites, in fractional coordinates, are Ti at (0.072, 0.250, 0.337), Pd at (0.113, 0.750, 0.548), Pd at (0.134, 0.250, 0.766), Pd at (0.188, 0.250, 0.192), Pd at (0.283, 0.750, 0.432), Pd at (0.341, 0.250, 0.668), Pd at (0.379, 0.750, 0.133), Au at (0.093, 0.750, 0.957), Au at (0.387, 0.250, 0.924) and Au at (0.462, 0.250, 0.367).

The density of states at the Fermi level comes out at 11.84 states/eV/cell. Its volume is 336 Å³ per cell.


According to the calculations, the structures order from most to least stable as model P, model Q.